## Cs (PBE)

Data for Cs after structural relaxation.

Output
Energy relative to the elements (kJ per mole of atoms): 24

a = 8.010 Å, b = 8.010 Å, c = 8.010 Å
α = 60.00°, β = 60.00°, γ = 60.00°
Positions (direct):
Cs (0.000, 0.000, 0.000)
Cs (0.750, 0.750, 0.750)